(A)
# TlRe2P PBE-GGA relaxed
# * symmetry: P4/mmm
# * density: 15.6 g/cm³
data_TlRe2P
_cell_length_a 3.0206
_cell_length_b 3.0206
_cell_length_c 7.0889
_cell_angle_alpha 90.00
_cell_angle_beta 90.00
_cell_angle_gamma 90.00
_symmetry_space_group_name_H-M 'P 1'
_symmetry_Int_Tables_number 1
_symmetry_space_group_name_Hall 'P 1'
loop_
_atom_site_label
_atom_site_type_symbol
_atom_site_fract_x
_atom_site_fract_y
_atom_site_fract_z
Tl1 Tl 0.5000 0.5000 0.0000
Re1 Re 0.0000 0.0000 0.6852
Re2 Re 0.0000 0.0000 0.3148
P1 P 0.5000 0.5000 0.5000



(B)
# TlRe2P PBE-GGA relaxed
# * symmetry: P4mm
# * density: 14.2 g/cm³
data_TlRe2P
_cell_length_a 2.9518
_cell_length_b 2.9518
_cell_length_c 8.1654
_cell_angle_alpha 90.00
_cell_angle_beta 90.00
_cell_angle_gamma 90.00
_symmetry_space_group_name_H-M 'P 1'
_symmetry_Int_Tables_number 1
_symmetry_space_group_name_Hall 'P 1'
loop_
_atom_site_label
_atom_site_type_symbol
_atom_site_fract_x
_atom_site_fract_y
_atom_site_fract_z
Re1 Re 0.0000 0.0000 0.9963
Re2 Re 0.5000 0.5000 0.2026
Tl1 Tl 0.0000 0.0000 0.4798
P1 P 0.5000 0.5000 0.8212



Most stable to least stable, the ends of the list are (B) and (A).